{
  "formula": "RbAcVF6",
  "functional": "PBE+U",
  "state": "optimized geometry",
  "space_group": "Imma, No. 74",
  "energy_ev_per_fu": -53.803,
  "lattice_angstrom": [[8.3359, 0.0000, 0.0000], [0.0000, 7.6294, 0.0000], [-4.1679, -3.8147, 5.3409]],
  "species": ["Rb", "Rb", "Ac", "Ac", "V", "V", "F", "F", "F", "F", "F", "F", "F", "F", "F", "F", "F", "F"],
  "frac_coords": [[0.8267, 0.5767, 0.6534], [0.1733, 0.4233, 0.3466], [0.5000, 0.0000, 0.5000], [0.0000, 0.0000, 0.5000], [0.5000, 0.5000, 0.0000], [0.5000, 0.0000, 0.0000], [0.5902, 0.8402, 0.1803], [0.8728, 0.1228, 0.7456], [0.8178, 0.1603, 0.2691], [0.4513, 0.6088, 0.2691], [0.4513, 0.1603, 0.2691], [0.8178, 0.6088, 0.2691], [0.4098, 0.1598, 0.8197], [0.1272, 0.8772, 0.2544], [0.1822, 0.8397, 0.7309], [0.5487, 0.3912, 0.7309], [0.5487, 0.8397, 0.7309], [0.1822, 0.3912, 0.7309]]
}